Record 1
Material: Co2CuBr
Method: DFT, GGA-PBE
State: optimized geometry

Unit cell a=3.8788 b=3.8788 c=6.2620 alpha=103.22 beta=103.22 gamma=49.25
Fractional coordinates of all 4 atoms:
Co: 0.0000 0.0000 0.0000
Co: 0.7280 0.7280 0.1400
Cu: 0.2516 0.2516 0.8054
Br: 0.3471 0.3471 0.4570

Properties
The density of states at the Fermi level is 2.72 states/eV/cell. Its uncorrected formation energy is 0.46 eV per atom. For the total magnetization, the calculation gives 3.82 μB/cell. The value obtained for the offset from the most stable computed form is 7.3 kJ/mol of atoms. The value obtained for the total energy is -4.531 eV/atom.

=====

Record 2
Material: CoCu2Br6
Method: DFT, GGA-PBE
State: optimized geometry

Unit cell a=9.7543 b=9.7543 c=6.8248 alpha=106.93 beta=106.93 gamma=90.82
Fractional coordinates of all 18 atoms:
Co: 0.2032 0.7968 0.7500
Co: 0.7968 0.2032 0.2500
Cu: 0.2196 0.3627 0.6175
Cu: 0.3627 0.2196 0.1175
Cu: 0.6373 0.7804 0.8825
Cu: 0.7804 0.6373 0.3825
Br: 0.0049 0.7926 0.4570
Br: 0.1853 0.5916 0.8566
Br: 0.2074 0.9951 0.0430
Br: 0.2464 0.4030 0.3027
Br: 0.4030 0.2464 0.8027
Br: 0.4084 0.8147 0.6434
Br: 0.5916 0.1853 0.3566
Br: 0.5970 0.7536 0.1973
Br: 0.7536 0.5970 0.6973
Br: 0.7926 0.0049 0.9570
Br: 0.8147 0.4084 0.1434
Br: 0.9951 0.2074 0.5430

Properties
The density of states at the Fermi level is 22.87 states/eV/cell. Its uncorrected formation energy is -0.29 eV per atom. For the total magnetization, the calculation gives 9.24 μB/cell. The value obtained for the offset from the most stable computed form is 0.0 kJ/mol of atoms. The value obtained for the total energy is -3.101 eV/atom.